No. 1
The following is a DFT calculation (PBE) of an optimized crystal structure of BaCu2SbCl8.

abc: 6.2943 6.2943 9.2434
angles: 90.31 90.31 72.61
Last column: nearest neighbours and their distance in Å.
Fractional coordinates of all 12 atoms:
Ba: 0.0000 0.0000 0.0000  6 Cl 3.11-3.20
Cu: 0.3485 0.3485 0.7346  4 Cl 2.21-2.42
Cu: 0.6515 0.6515 0.2654  4 Cl 2.21-2.42
Sb: 0.0000 0.0000 0.5000  6 Cl 2.61-2.67
Cl: 0.2333 0.7499 0.7134  1 Cu 2.42, 1 Sb 2.67
Cl: 0.2501 0.7667 0.2866  1 Cu 2.42, 1 Sb 2.67
Cl: 0.2567 0.2567 0.5154  1 Cu 2.22
Cl: 0.3048 0.3048 0.9682  1 Cu 2.21
Cl: 0.6952 0.6952 0.0318  1 Cu 2.21
Cl: 0.7433 0.7433 0.4846  1 Cu 2.22
Cl: 0.7499 0.2333 0.7134  1 Cu 2.42, 1 Sb 2.67
Cl: 0.7667 0.2501 0.2866  1 Cu 2.42, 1 Sb 2.67

The total energy comes out at -3.507 eV per atom. Its space group is C2/m, No. 12. As for the crystal system: monoclinic.



No. 2
The following is a DFT calculation (PBE) of an optimized crystal structure of BaScCu2Cl8.

abc: 6.3358 6.3358 8.7697
angles: 90.00 90.00 120.00
Last column: nearest neighbours and their distance in Å.
Fractional coordinates of all 12 atoms:
Ba: 0.0000 0.0000 0.0000  12 Cl 3.46-3.66
Sc: 0.0000 0.0000 0.5000  6 Cl 2.50
Cu: 0.3333 0.6667 0.7326  4 Cl 2.25-2.31
Cu: 0.6667 0.3333 0.2674  4 Cl 2.25-2.31
Cl: 0.0142 0.6964 0.3250  1 Cu 2.31, 1 Sc 2.50
Cl: 0.3036 0.3178 0.3250  1 Cu 2.31, 1 Sc 2.50
Cl: 0.3178 0.0142 0.6750  1 Cu 2.31, 1 Sc 2.50
Cl: 0.3333 0.6667 0.9886  1 Cu 2.25
Cl: 0.6667 0.3333 0.0114  1 Cu 2.25
Cl: 0.6822 0.9858 0.3250  1 Cu 2.31, 1 Sc 2.50
Cl: 0.6964 0.6822 0.6750  1 Cu 2.31, 1 Sc 2.50
Cl: 0.9858 0.3036 0.6750  1 Cu 2.31, 1 Sc 2.50

The total energy comes out at -4.080 eV per atom. Its space group is P-3, No. 147. As for the crystal system: trigonal.



No. 3
The following is a DFT calculation (PBE) of an optimized crystal structure of BaCu2SnCl8.

abc: 6.2135 6.2213 9.0710
angles: 88.69 88.77 76.40
Last column: nearest neighbours and their distance in Å.
Fractional coordinates of all 12 atoms:
Ba: 0.0000 0.0000 0.0000  6 Cl 3.14-3.15
Cu: 0.4865 0.4885 0.1795  4 Cl 2.30-2.43
Cu: 0.5135 0.5115 0.8205  4 Cl 2.30-2.43
Sn: 0.0000 0.0000 0.5000  6 Cl 2.38-2.63
Cl: 0.2260 0.7652 0.7138  1 Cu 2.30
Cl: 0.2386 0.7783 0.2864  1 Cu 2.30
Cl: 0.2416 0.2455 0.4986  1 Sn 2.38
Cl: 0.3214 0.3237 0.9995  2 Cu 2.33-2.43
Cl: 0.6786 0.6763 0.0005  2 Cu 2.33-2.43
Cl: 0.7584 0.7545 0.5014  1 Sn 2.38
Cl: 0.7614 0.2217 0.7136  1 Cu 2.30
Cl: 0.7740 0.2348 0.2862  1 Cu 2.30

The total energy comes out at -3.499 eV per atom. Its space group is P-1, No. 2. As for the crystal system: triclinic.



> Which formula does entry 1 have?

BaCu2SbCl8